# 1
The following is a DFT calculation (PBE-GGA) of an optimized crystal structure of ReTeAs.

## Properties
- offset from the most stable computed form (meV per atom) = 132
- formation energy without anion corrections (eV/atom) = 0.37
- crystal system = cubic

Cell lengths 6.2892, 6.2892, 6.2892 Å; angles 90.00, 90.00, 90.00 degrees
Element x y z (fractional)
Re1 0.0000 0.0000 0.0000
Re2 0.0000 0.5000 0.5000
Re3 0.5000 0.0000 0.5000
Re4 0.5000 0.5000 0.0000
Te1 0.2500 0.2500 0.7500
Te2 0.2500 0.7500 0.2500
Te3 0.7500 0.2500 0.2500
Te4 0.7500 0.7500 0.7500
As1 0.2500 0.2500 0.2500
As2 0.2500 0.7500 0.7500
As3 0.7500 0.2500 0.7500
As4 0.7500 0.7500 0.2500

# 2
The following is a DFT calculation (PBE-GGA) of an optimized crystal structure of AlV4C2.

## Properties
- ΔH_f (0 K) (eV per atom) = -0.4022
- crystal system = orthorhombic

Cell lengths 5.2096, 5.2096, 10.5636 Å; angles 90.00, 90.00, 146.00 degrees
Element x y z (fractional)
Al1 0.1087 0.8913 0.7500
Al2 0.8913 0.1087 0.2500
V1 0.0000 0.0000 0.0000
V2 0.0000 0.0000 0.5000
V3 0.2568 0.7432 0.1037
V4 0.2568 0.7432 0.3963
V5 0.4065 0.5935 0.7500
V6 0.5935 0.4065 0.2500
V7 0.7432 0.2568 0.6037
V8 0.7432 0.2568 0.8963
C1 0.3659 0.6341 0.5595
C2 0.3659 0.6341 0.9405
C3 0.6341 0.3659 0.0595
C4 0.6341 0.3659 0.4405

# 3
The following is a DFT calculation (PBE-GGA) of an optimized crystal structure of AcMgSiF.

## Properties
- formation energy without anion corrections (eV/atom) = -1.70
- crystal system = tetragonal

Cell lengths 4.2920, 4.2920, 9.3284 Å; angles 90.00, 90.00, 90.00 degrees
Element x y z (fractional)
Ac1 0.2500 0.2500 0.1739
Ac2 0.7500 0.7500 0.8261
Mg1 0.2500 0.7500 0.5000
Mg2 0.7500 0.2500 0.5000
Si1 0.2500 0.2500 0.6828
Si2 0.7500 0.7500 0.3172
F1 0.2500 0.7500 0.0000
F2 0.7500 0.2500 0.0000

# 4
The following is a DFT calculation (PBE-GGA) of an optimized crystal structure of LaLuPd.

## Properties
- offset from the most stable computed form (meV per atom) = 0
- ΔH_f (0 K) (eV per atom) = -0.5491
- crystal system = tetragonal

Cell lengths 3.5700, 3.5700, 12.5522 Å; angles 90.00, 90.00, 90.00 degrees
Element x y z (fractional)
La1 0.0000 0.0000 0.0000
La2 0.5000 0.5000 0.5000
Lu1 0.0000 0.0000 0.2749
Lu2 0.5000 0.5000 0.7749
Pd1 0.0000 0.0000 0.6635
Pd2 0.5000 0.5000 0.1635

# 5
The following is a DFT calculation (PBE-GGA) of an optimized crystal structure of RbZn.

## Properties
- ΔH_f (0 K) (eV per atom) = 0.1171
- crystal system = orthorhombic

Cell lengths 7.0412, 7.0494, 13.3749 Å; angles 90.00, 90.00, 90.00 degrees
Element x y z (fractional)
Rb1 0.1019 0.1284 0.0763
Rb2 0.1700 0.3684 0.7280
Rb3 0.3300 0.6316 0.2280
Rb4 0.3981 0.8716 0.5763
Rb5 0.6019 0.3716 0.9237
Rb6 0.6700 0.1316 0.2720
Rb7 0.8300 0.8684 0.7720
Rb8 0.8981 0.6284 0.4237
Zn1 0.0905 0.6334 0.9784
Zn2 0.1654 0.1641 0.3821
Zn3 0.3346 0.8359 0.8821
Zn4 0.4095 0.3666 0.4784
Zn5 0.5905 0.8666 0.0216
Zn6 0.6654 0.3359 0.6179
Zn7 0.8346 0.6641 0.1179
Zn8 0.9095 0.1334 0.5216

# 6
The following is a DFT calculation (PBE-GGA) of an optimized crystal structure of Hf2InC.

## Properties
- offset from the most stable computed form (meV per atom) = 0
- ΔH_f (0 K) (eV per atom) = -0.7147
- crystal system = hexagonal

Cell lengths 3.3251, 3.3251, 14.9144 Å; angles 90.00, 90.00, 120.00 degrees
Element x y z (fractional)
Hf1 0.3333 0.6667 0.0815
Hf2 0.3333 0.6667 0.4185
Hf3 0.6667 0.3333 0.5815
Hf4 0.6667 0.3333 0.9185
In1 0.3333 0.6667 0.7500
In2 0.6667 0.3333 0.2500
C1 0.0000 0.0000 0.0000
C2 0.0000 0.0000 0.5000

# 7
The following is a DFT calculation (PBE-GGA) of an optimized crystal structure of AgIr2W.

## Properties
- offset from the most stable computed form (meV per atom) = 471
- ΔH_f (0 K) (eV per atom) = 0.4741
- crystal system = tetragonal

Cell lengths 3.3989, 3.3989, 5.5991 Å; angles 90.00, 90.00, 90.00 degrees
Element x y z (fractional)
Ag1 0.0000 0.0000 0.0000
Ir1 0.0000 0.0000 0.5133
Ir2 0.5000 0.5000 0.2512
W1 0.5000 0.5000 0.7057

# 8
The following is a DFT calculation (PBE-GGA) of an optimized crystal structure of RbLaMg6.

## Properties
- offset from the most stable computed form (meV per atom) = 0
- ΔH_f (0 K) (eV per atom) = 0.1248
- crystal system = orthorhombic

Cell lengths 5.3742, 7.3120, 12.3649 Å; angles 90.00, 90.00, 90.00 degrees
Element x y z (fractional)
Rb1 0.0000 0.0000 0.0000
Rb2 0.0000 0.5000 0.5000
La1 0.5000 0.0000 0.6785
La2 0.5000 0.5000 0.1785
Mg1 0.0000 0.0000 0.5063
Mg2 0.0000 0.2350 0.2560
Mg3 0.0000 0.2650 0.7560
Mg4 0.0000 0.5000 0.0063
Mg5 0.0000 0.7350 0.7560
Mg6 0.0000 0.7650 0.2560
Mg7 0.5000 0.0000 0.1926
Mg8 0.5000 0.2122 0.4168
Mg9 0.5000 0.2878 0.9168
Mg10 0.5000 0.5000 0.6926
Mg11 0.5000 0.7122 0.9168
Mg12 0.5000 0.7878 0.4168

# 9
The following is a DFT calculation (PBE-GGA) of an optimized crystal structure of ZrAl3Pd2.

## Properties
- ΔH_f (0 K) (eV per atom) = -0.7102
- crystal system = hexagonal

Cell lengths 4.3125, 4.3125, 12.2645 Å; angles 90.00, 90.00, 120.00 degrees
Element x y z (fractional)
Zr1 0.0000 0.0000 0.2500
Zr2 0.0000 0.0000 0.7500
Al1 0.0000 0.0000 0.0000
Al2 0.0000 0.0000 0.5000
Al3 0.3333 0.6667 0.1278
Al4 0.3333 0.6667 0.3722
Al5 0.6667 0.3333 0.6278
Al6 0.6667 0.3333 0.8722
Pd1 0.3333 0.6667 0.5884
Pd2 0.3333 0.6667 0.9116
Pd3 0.6667 0.3333 0.0884
Pd4 0.6667 0.3333 0.4116

# 10
The following is a DFT calculation (PBE-GGA) of an optimized crystal structure of Pu2GaHg.

## Properties
- ΔH_f (0 K) (eV per atom) = -0.1483
- crystal system = cubic

Cell lengths 7.3636, 7.3636, 7.3636 Å; angles 90.00, 90.00, 90.00 degrees
Element x y z (fractional)
Pu1 0.2500 0.2500 0.2500
Pu2 0.2500 0.2500 0.7500
Pu3 0.2500 0.7500 0.2500
Pu4 0.2500 0.7500 0.7500
Pu5 0.7500 0.2500 0.2500
Pu6 0.7500 0.2500 0.7500
Pu7 0.7500 0.7500 0.2500
Pu8 0.7500 0.7500 0.7500
Ga1 0.0000 0.0000 0.0000
Ga2 0.0000 0.5000 0.5000
Ga3 0.5000 0.0000 0.5000
Ga4 0.5000 0.5000 0.0000
Hg1 0.0000 0.0000 0.5000
Hg2 0.0000 0.5000 0.0000
Hg3 0.5000 0.0000 0.0000
Hg4 0.5000 0.5000 0.5000

# 11
The following is a DFT calculation (PBE-GGA) of an optimized crystal structure of ZrTiFe2As.

## Properties
- ΔH_f (0 K) (eV per atom) = 0.8382
- crystal system = tetragonal

Cell lengths 4.2230, 4.2230, 5.2938 Å; angles 90.00, 90.00, 90.00 degrees
Element x y z (fractional)
Zr1 0.0000 0.0000 0.0000
Ti1 0.0000 0.0000 0.5000
Fe1 0.0000 0.5000 0.5000
Fe2 0.5000 0.0000 0.5000
As1 0.5000 0.5000 0.0000

# 12
The following is a DFT calculation (PBE-GGA) of an optimized crystal structure of LaY3Sn.

## Properties
- offset from the most stable computed form (meV per atom) = 0
- ΔH_f (0 K) (eV per atom) = 0.1457
- crystal system = cubic

Cell lengths 5.8407, 5.8407, 5.8407 Å; angles 90.00, 90.00, 90.00 degrees
Element x y z (fractional)
La1 0.0000 0.0000 0.0000
Y1 0.0000 0.5000 0.5000
Y2 0.5000 0.0000 0.5000
Y3 0.5000 0.5000 0.0000
Sn1 0.5000 0.5000 0.5000

# 13
The following is a DFT calculation (PBE-GGA) of an optimized crystal structure of Pr4HoHg3.

## Properties
- ΔH_f (0 K) (eV per atom) = -0.3034
- crystal system = orthorhombic

Cell lengths 3.8075, 5.5543, 11.2767 Å; angles 90.00, 90.00, 90.00 degrees
Element x y z (fractional)
Pr1 0.0000 0.0000 0.0000
Pr2 0.0000 0.0000 0.5000
Pr3 0.0000 0.5000 0.2367
Pr4 0.0000 0.5000 0.7633
Ho1 0.5000 0.5000 0.5000
Hg1 0.5000 0.0000 0.2592
Hg2 0.5000 0.0000 0.7408
Hg3 0.5000 0.5000 0.0000

# 14
The following is a DFT calculation (PBE-GGA) of an optimized crystal structure of Sm3Pd2Rh7.

## Properties
- ΔH_f (0 K) (eV per atom) = -0.5747
- crystal system = trigonal

Cell lengths 9.3958, 9.3958, 9.3958 Å; angles 32.83, 32.83, 32.83 degrees
Element x y z (fractional)
Sm1 0.0000 0.0000 0.0000
Sm2 0.1397 0.1397 0.1397
Sm3 0.8603 0.8603 0.8603
Pd1 0.3332 0.3332 0.3332
Pd2 0.6668 0.6668 0.6668
Rh1 0.0822 0.5852 0.5852
Rh2 0.4148 0.4148 0.9178
Rh3 0.4148 0.9178 0.4148
Rh4 0.5000 0.5000 0.5000
Rh5 0.5852 0.0822 0.5852
Rh6 0.5852 0.5852 0.0822
Rh7 0.9178 0.4148 0.4148

# 15
The following is a DFT calculation (PBE-GGA) of an optimized crystal structure of Ce2EuNi.

## Properties
- ΔH_f (0 K) (eV per atom) = -0.0281
- crystal system = tetragonal

Cell lengths 3.5682, 3.5682, 8.6462 Å; angles 90.00, 90.00, 90.00 degrees
Element x y z (fractional)
Ce1 0.0000 0.0000 0.1692
Ce2 0.0000 0.0000 0.8308
Eu1 0.5000 0.5000 0.5000
Ni1 0.5000 0.5000 0.0000

# 16
The following is a DFT calculation (PBE-GGA) of an optimized crystal structure of MnHgPBr.

## Properties
- offset from the most stable computed form (meV per atom) = 203
- formation energy without anion corrections (eV/atom) = 0.02
- crystal system = monoclinic

Cell lengths 6.0295, 3.4740, 7.9178 Å; angles 90.00, 90.12, 90.00 degrees
Element x y z (fractional)
Mn1 0.0000 0.0000 0.0000
Mn2 0.5000 0.5000 0.0000
Hg1 0.3334 0.0000 0.2516
Hg2 0.8334 0.5000 0.2516
P1 0.1664 0.5000 0.8666
P2 0.6664 0.0000 0.8666
Br1 0.1631 0.5000 0.5669
Br2 0.6631 0.0000 0.5669

# 17
The following is a DFT calculation (PBE-GGA) of an optimized crystal structure of AgSnGeSe4.

## Properties
- formation energy without anion corrections (eV/atom) = -0.16
- crystal system = monoclinic

Cell lengths 6.4366, 7.6377, 7.8183 Å; angles 90.00, 91.50, 90.00 degrees
Element x y z (fractional)
Ag1 0.1688 0.2500 0.4923
Ag2 0.8312 0.7500 0.5077
Sn1 0.1172 0.2500 0.0058
Sn2 0.8828 0.7500 0.9942
Ge1 0.3042 0.7500 0.7206
Ge2 0.6958 0.2500 0.2794
Se1 0.0340 0.5151 0.7350
Se2 0.0340 0.9849 0.7350
Se3 0.4359 0.7500 0.4493
Se4 0.4690 0.7500 0.9958
Se5 0.5310 0.2500 0.0042
Se6 0.5641 0.2500 0.5507
Se7 0.9660 0.0151 0.2650
Se8 0.9660 0.4849 0.2650

# 18
The following is a DFT calculation (PBE-GGA) of an optimized crystal structure of PmPr5Y3.

## Properties
- offset from the most stable computed form (meV per atom) = 287
- ΔH_f (0 K) (eV per atom) = 0.5444
- crystal system = monoclinic

Cell lengths 8.3549, 8.3549, 11.6365 Å; angles 110.08, 110.08, 87.72 degrees
Element x y z (fractional)
Pm1 0.0875 0.0875 0.2940
Pm2 0.9125 0.9125 0.7060
Pr1 0.0468 0.5621 0.8563
Pr2 0.2663 0.7337 0.5000
Pr3 0.3132 0.3132 0.5781
Pr4 0.4379 0.9532 0.1437
Pr5 0.4935 0.4935 0.1268
Pr6 0.5065 0.5065 0.8732
Pr7 0.5621 0.0468 0.8563
Pr8 0.6868 0.6868 0.4219
Pr9 0.7337 0.2663 0.5000
Pr10 0.9532 0.4379 0.1437
Y1 0.0000 0.0000 0.0000
Y2 0.0000 0.0000 0.5000
Y3 0.2075 0.2075 0.8656
Y4 0.3479 0.3479 0.2885
Y5 0.6521 0.6521 0.7115
Y6 0.7925 0.7925 0.1344

# 19
The following is a DFT calculation (PBE-GGA) of an optimized crystal structure of TiBiBr2.

## Properties
- offset from the most stable computed form (meV per atom) = 295
- formation energy without anion corrections (eV/atom) = -0.31
- crystal system = tetragonal

Cell lengths 9.3080, 9.3080, 5.6451 Å; angles 90.00, 90.00, 90.00 degrees
Element x y z (fractional)
Ti1 0.0000 0.0000 0.0000
Ti2 0.0000 0.5000 0.2500
Ti3 0.5000 0.0000 0.7500
Ti4 0.5000 0.5000 0.5000
Bi1 0.0000 0.0000 0.5000
Bi2 0.0000 0.5000 0.7500
Bi3 0.5000 0.0000 0.2500
Bi4 0.5000 0.5000 0.0000
Br1 0.1088 0.7500 0.1250
Br2 0.2500 0.1088 0.8750
Br3 0.2500 0.3912 0.3750
Br4 0.3912 0.7500 0.6250
Br5 0.6088 0.2500 0.6250
Br6 0.7500 0.6088 0.3750
Br7 0.7500 0.8912 0.8750
Br8 0.8912 0.2500 0.1250

# 20
The following is a DFT calculation (PBE-GGA) of an optimized crystal structure of ErCu2Ag.

## Properties
- offset from the most stable computed form (meV per atom) = 0
- ΔH_f (0 K) (eV per atom) = -0.1547
- crystal system = cubic

Cell lengths 6.5285, 6.5285, 6.5285 Å; angles 90.00, 90.00, 90.00 degrees
Element x y z (fractional)
Er1 0.0000 0.0000 0.0000
Er2 0.0000 0.5000 0.5000
Er3 0.5000 0.0000 0.5000
Er4 0.5000 0.5000 0.0000
Cu1 0.2500 0.2500 0.2500
Cu2 0.2500 0.2500 0.7500
Cu3 0.2500 0.7500 0.2500
Cu4 0.2500 0.7500 0.7500
Cu5 0.7500 0.2500 0.2500
Cu6 0.7500 0.2500 0.7500
Cu7 0.7500 0.7500 0.2500
Cu8 0.7500 0.7500 0.7500
Ag1 0.0000 0.0000 0.5000
Ag2 0.0000 0.5000 0.0000
Ag3 0.5000 0.0000 0.0000
Ag4 0.5000 0.5000 0.5000

# 21
The following is a DFT calculation (PBE-GGA) of an optimized crystal structure of PmSc2Rh.

## Properties
- offset from the most stable computed form (meV per atom) = 138
- ΔH_f (0 K) (eV per atom) = -0.3535
- crystal system = trigonal

Cell lengths 4.3987, 4.3987, 18.1290 Å; angles 90.00, 90.00, 120.00 degrees
Element x y z (fractional)
Pm1 0.0000 0.0000 0.0000
Pm2 0.3333 0.6667 0.6667
Pm3 0.6667 0.3333 0.3333
Sc1 0.0000 0.0000 0.5509
Sc2 0.0000 0.0000 0.7876
Sc3 0.3333 0.6667 0.2175
Sc4 0.3333 0.6667 0.4543
Sc5 0.6667 0.3333 0.1209
Sc6 0.6667 0.3333 0.8842
Rh1 0.0000 0.0000 0.1750
Rh2 0.3333 0.6667 0.8416
Rh3 0.6667 0.3333 0.5083

# 22
The following is a DFT calculation (PBE-GGA) of an optimized crystal structure of SrRe2Cl.

## Properties
- offset from the most stable computed form (meV per atom) = 370
- formation energy without anion corrections (eV/atom) = 0.35
- crystal system = monoclinic

Cell lengths 3.5681, 6.4841, 4.2804 Å; angles 90.00, 90.83, 90.00 degrees
Element x y z (fractional)
Sr1 0.0000 0.0000 0.0000
Re1 0.2434 0.5000 0.8214
Re2 0.7566 0.5000 0.1786
Cl1 0.5000 0.0000 0.5000

# 23
The following is a DFT calculation (PBE-GGA) of an optimized crystal structure of In2CoI.

## Properties
- offset from the most stable computed form (meV per atom) = 303
- formation energy without anion corrections (eV/atom) = 0.67
- crystal system = cubic

Cell lengths 7.7529, 7.7529, 7.7529 Å; angles 90.00, 90.00, 90.00 degrees
Element x y z (fractional)
In1 0.2500 0.2500 0.2500
In2 0.2500 0.2500 0.7500
In3 0.2500 0.7500 0.2500
In4 0.2500 0.7500 0.7500
In5 0.7500 0.2500 0.2500
In6 0.7500 0.2500 0.7500
In7 0.7500 0.7500 0.2500
In8 0.7500 0.7500 0.7500
Co1 0.0000 0.0000 0.0000
Co2 0.0000 0.5000 0.5000
Co3 0.5000 0.0000 0.5000
Co4 0.5000 0.5000 0.0000
I1 0.0000 0.0000 0.5000
I2 0.0000 0.5000 0.0000
I3 0.5000 0.0000 0.0000
I4 0.5000 0.5000 0.5000

# 24
The following is a DFT calculation (PBE-GGA) of an optimized crystal structure of AcMgF.

## Properties
- formation energy without anion corrections (eV/atom) = -1.40
- crystal system = orthorhombic

Cell lengths 13.3970, 3.4964, 6.9779 Å; angles 90.00, 90.00, 90.00 degrees
Element x y z (fractional)
Ac1 0.2168 0.0000 0.0000
Ac2 0.2168 0.5000 0.5000
Ac3 0.7832 0.0000 0.0000
Ac4 0.7832 0.5000 0.5000
Mg1 0.0000 0.0000 0.6946
Mg2 0.0000 0.5000 0.1946
Mg3 0.5000 0.0000 0.4996
Mg4 0.5000 0.5000 0.9996
F1 0.4090 0.0000 0.9989
F2 0.4090 0.5000 0.4989
F3 0.5910 0.0000 0.9989
F4 0.5910 0.5000 0.4989

| no. | DOS(E_F) (states/eV per atom) |
| --- | --- |
| 1 | 0.924 |
| 2 | 0.637 |
| 3 | 0.112 |
| 4 | 1.041 |
| 5 | 0.708 |
| 6 | 0.224 |
| 7 | 1.214 |
| 8 | 0.757 |
| 9 | 0.433 |
| 10 | 3.531 |
| 11 | 1.308 |
| 12 | 1.957 |
| 13 | 1.370 |
| 14 | 0.841 |
| 15 | 2.410 |
| 16 | 0.634 |
| 17 | 0.414 |
| 18 | 1.505 |
| 19 | 0.959 |
| 20 | 0.502 |
| 21 | 0.763 |
| 22 | 0.725 |
| 23 | 0.391 |
| 24 | 0.670 |